A plane-wave DFT calculation with GGA-PBE was carried out for a relaxed TbZrOsRh crystal.

Unit cell a=6.7165 b=6.7165 c=6.7165 alpha=90.00 beta=90.00 gamma=90.00
Space group F-43m (No. 216)
Asymmetric unit:
Tb  0.0000  0.0000  0.0000 (multiplicity 4)
Zr  0.0000  0.0000  0.5000 (multiplicity 4)
Os  0.2500  0.2500  0.7500 (multiplicity 4)
Rh  0.2500  0.2500  0.2500 (multiplicity 4)

Results
* formation energy: -548 meV/atom

A plane-wave DFT calculation with GGA-PBE was carried out for a relaxed CaMn2Ru crystal.

Unit cell a=4.2570 b=4.2570 c=15.3783 alpha=90.00 beta=90.00 gamma=120.00
Space group R-3m (No. 166, hexagonal axes)
Asymmetric unit:
Ca  0.0000  0.0000  0.0000 (multiplicity 3)
Mn  0.0000  0.0000  0.2028 (multiplicity 6)
Ru  0.0000  0.0000  0.5000 (multiplicity 3)

Results
* formation energy: 319 meV/atom

A plane-wave DFT calculation with GGA-PBE was carried out for a relaxed NpPaSi3 crystal.

Unit cell a=3.8827 b=24.6222 c=4.0500 alpha=90.00 beta=90.00 gamma=90.00
Space group Cmcm (No. 63)
Asymmetric unit:
Np  0.0000  0.0707  0.2500 (multiplicity 4)
Pa  0.0000  0.2069  0.7500 (multiplicity 4)
Si  0.0000  0.3280  0.7500 (multiplicity 4)
Si  0.0000  0.3821  0.2500 (multiplicity 4)
Si  0.0000  0.4767  0.2500 (multiplicity 4)

Results
* raw formation energy: -343 meV/atom

A plane-wave DFT calculation with GGA-PBE was carried out for a relaxed TiNbCrW crystal.

Unit cell a=6.3035 b=6.3035 c=6.3035 alpha=90.00 beta=90.00 gamma=90.00
Space group F-43m (No. 216)
Asymmetric unit:
Ti  0.0000  0.0000  0.0000 (multiplicity 4)
Nb  0.0000  0.0000  0.5000 (multiplicity 4)
Cr  0.2500  0.2500  0.2500 (multiplicity 4)
W  0.2500  0.2500  0.7500 (multiplicity 4)

Results
* formation energy: 60 meV/atom